Entry from Alexandria via LeMat-Bulk: a relaxed structure of K3Fe2F9 (PBE+U).

Cell: 10.3102 10.3102 14.2410 Å, 90.00 90.00 120.00°
Last column: nearest neighbours and their distance in Å.
Space group R-3c (No. 167, hexagonal axes)
Symmetry-distinct sites (fractional):
K: 0.0000 0.3408 0.2500 x18  12 F 2.91-3.06
Fe: 0.0000 0.0000 0.1483 x12  6 F 1.88-2.07
F: 0.0000 0.1436 0.7500 x18  2 Fe 2.07
F: 0.0038 0.1662 0.4097 x36  1 Fe 1.88

The value obtained for the energy is -4.91 eV per atom. The density of states at the Fermi level comes out at 0.00 states/eV/f.u. The value obtained for the total magnetization is 10.00 μB/f.u.